The following is a DFT calculation (GGA-PBE) of crystalline CeMnCu at its relaxed geometry.

The calculation puts the formation energy at 0.009 eV per atom.

The space group is C2/m (No. 12) and the conventional cell measures 11.1121, 4.3423 and 4.4677 Å, with angles of 90.00, 105.55 and 90.00 degrees. Symmetry generates all atoms from Ce at (0.1311, 0.0000, 0.3480), Mn at (0.1965, 0.0000, 0.8611) and Cu at (0.0795, 0.5000, 0.7985).

=====

The following is a DFT calculation (GGA-PBE) of crystalline Mn2B2S7 at its relaxed geometry.

Its uncorrected energy is -125.82 eV/cell.

The space group is C2/m (No. 12) and the conventional cell measures 7.1184, 10.0278 and 5.6482 Å, with angles of 90.00, 108.12 and 90.00 degrees. Symmetry generates all atoms from Mn at (0.0000, 0.1862, 0.0000), B at (0.2392, 0.5000, 0.3672), S at (0.0000, 0.5000, 0.5000), S at (0.1695, 0.0000, 0.2666) and S at (0.2325, 0.1650, 0.7677).

=====

The following is a DFT calculation (GGA-PBE) of crystalline Ba8ZnAu3 at its relaxed geometry.

The calculation puts the formation energy at -0.383 eV per atom.

The space group is C2/m (No. 12) and the conventional cell measures 16.0340, 9.7259 and 9.3634 Å, with angles of 90.00, 122.72 and 90.00 degrees. Symmetry generates all atoms from Ba at (0.0069, 0.2448, 0.2490), Ba at (0.2456, 0.0000, 0.2537), Ba at (0.2483, 0.5000, 0.2615), Zn at (0.0000, 0.5000, 0.0000), Au at (0.0000, 0.0000, 0.0000) and Au at (0.2500, 0.2500, 0.5000).

=====

The following is a DFT calculation (GGA-PBE) of crystalline Ce6ThGa at its relaxed geometry.

The calculation puts the formation energy at 0.079 eV per atom.

The space group is C2/m (No. 12) and the conventional cell measures 7.6005, 10.9237 and 6.3848 Å, with angles of 90.00, 126.27 and 90.00 degrees. Symmetry generates all atoms from Ce at (0.2012, 0.2490, 0.2574), Ce at (0.2061, 0.5000, 0.7454), Th at (0.0000, 0.0000, 0.5000) and Ga at (0.0000, 0.5000, 0.0000).

=====

The following is a DFT calculation (GGA-PBE) of crystalline ReRh2Br at its relaxed geometry.

The value obtained for the energy above the lowest structure with this stoichiometry is 0.5706 eV/atom.

The space group is F-43m (No. 216) and the conventional cell measures 6.2762, 6.2762 and 6.2762 Å, with angles of 90.00, 90.00 and 90.00 degrees. Symmetry generates all atoms from Re at (0.0000, 0.0000, 0.0000), Rh at (0.0000, 0.0000, 0.5000), Rh at (0.2500, 0.2500, 0.7500) and Br at (0.2500, 0.2500, 0.2500).

=====

The following is a DFT calculation (GGA-PBE) of crystalline Sc3MoAs at its relaxed geometry.

The calculation puts the formation energy at 0.362 eV per atom. The value obtained for the energy above the lowest structure with this stoichiometry is 0.0742 eV/atom.

The space group is Pm-3m (No. 221) and the conventional cell measures 4.9721, 4.9721 and 4.9721 Å, with angles of 90.00, 90.00 and 90.00 degrees. Symmetry generates all atoms from Sc at (0.0000, 0.0000, 0.5000), Mo at (0.0000, 0.0000, 0.0000) and As at (0.5000, 0.5000, 0.5000).

=====

The following is a DFT calculation (GGA-PBE) of crystalline Pm4NdTm3 at its relaxed geometry.

The calculation puts the formation energy at 0.026 eV per atom. The value obtained for the energy above the lowest structure with this stoichiometry is 0.0199 eV/atom.

The space group is Pmn2_1 (No. 31) and the conventional cell measures 11.5154, 7.3115 and 6.3032 Å, with angles of 90.00, 90.00 and 90.00 degrees. Symmetry generates all atoms from Pm at (0.0000, 0.1289, 0.0000), Pm at (0.0000, 0.8711, 0.4894), Pm at (0.2455, 0.8741, 0.8295), Nd at (0.0000, 0.3750, 0.4958), Tm at (0.0000, 0.6211, 0.9949) and Tm at (0.2500, 0.3788, 0.8283).

=====

The following is a DFT calculation (GGA-PBE) of crystalline Ac2ZnAs at its relaxed geometry.

The calculation puts the formation energy at -0.344 eV per atom. The value obtained for the energy above the lowest structure with this stoichiometry is 0.3277 eV/atom.

The space group is R-3m (No. 166, hexagonal axes) and the conventional cell measures 4.2545, 4.2545 and 31.2807 Å, with angles of 90.00, 90.00 and 120.00 degrees. Symmetry generates all atoms from Ac at (0.0000, 0.0000, 0.1069), Zn at (0.0000, 0.0000, 0.0000) and As at (0.0000, 0.0000, 0.5000).